No. 1
Density functional theory data (PBE) for a geometry-optimized CaTbCuPd structure.

The calculation puts the total magnetic moment at 0.00 μB/cell. The density of states at the Fermi level is 7.523 states/eV/cell. As for the energy relative to the elements: -0.46 eV/atom. The calculation puts the total energy at -71.0 eV for the cell shown.

The structure belongs to space group F-43m (No. 216); the cell edges are 7.036, 7.036 and 7.036 Å and the angles 90.00°, 90.00° and 90.00°. The inequivalent atoms are Ca at (0.000, 0.000, 0.000), Tb at (0.000, 0.000, 0.500), Cu at (0.250, 0.250, 0.750) and Pd at (0.250, 0.250, 0.250).

---

No. 2
Density functional theory data (PBE) for a geometry-optimized Ca2CuTcPd structure.

The calculation puts the total magnetic moment at 2.40 μB/cell. The density of states at the Fermi level is 3.429 states/eV/cell. As for the energy relative to the elements: 0.59 eV/atom. The calculation puts the total energy at -20.7 eV for the cell shown.

The structure belongs to space group P4/mmm (No. 123); the cell edges are 5.266, 5.266 and 4.593 Å and the angles 90.00°, 90.00° and 90.00°. The inequivalent atoms are Ca at (0.000, 0.500, 0.000), Cu at (0.000, 0.000, 0.000), Tc at (0.000, 0.000, 0.500) and Pd at (0.500, 0.500, 0.500).

---

No. 3
Density functional theory data (PBE) for a geometry-optimized CaCuTe2Pd structure.

The calculation puts the energy relative to the elements, uncorrected at -282 meV per atom. The calculation puts the total magnetic moment at 0.00 μB/cell. The density of states at the Fermi level is 2.166 states/eV/cell. The calculation puts the total energy at -19.0 eV for the cell shown.

The structure belongs to space group P4/mmm (No. 123); the cell edges are 5.179, 5.179 and 4.780 Å and the angles 90.00°, 90.00° and 90.00°. The inequivalent atoms are Ca at (0.000, 0.000, 0.000), Cu at (0.500, 0.500, 0.500), Te at (0.000, 0.500, 0.500) and Pd at (0.500, 0.500, 0.000).

---

No. 4
Density functional theory data (PBE) for a geometry-optimized CaThCuPd structure.

The calculation puts the total magnetic moment at 0.00 μB/cell. The density of states at the Fermi level is 6.422 states/eV/cell. As for the energy relative to the elements: -0.37 eV/atom. The calculation puts the total energy at -80.8 eV for the cell shown.

The structure belongs to space group F-43m (No. 216); the cell edges are 7.143, 7.143 and 7.143 Å and the angles 90.00°, 90.00° and 90.00°. The inequivalent atoms are Ca at (0.000, 0.000, 0.000), Th at (0.000, 0.000, 0.500), Cu at (0.250, 0.250, 0.250) and Pd at (0.250, 0.250, 0.750).